# Lu2Hf4P3N3 | OQMD via LeMat-Bulk | GGA-PBE | optimized geometry
# space-group type: C2/c (15)
# volume: 366.5 Å³/cell
# E_tot: -0.658 Ry/atom
data_Lu2Hf4P3N3
_chemical_formula_sum 'Lu4 Hf8 P6 N6'
_space_group_name_H-M_alt 'P 1'
_space_group_IT_number 1
_cell_length_a 5.9416
_cell_length_b 5.9416
_cell_length_c 12.4653
_cell_angle_alpha 103.76
_cell_angle_beta 103.76
_cell_angle_gamma 60.01
loop_
_space_group_symop_operation_xyz
'x,y,z'
loop_
_atom_site_label
_atom_site_type_symbol
_atom_site_fract_x
_atom_site_fract_y
_atom_site_fract_z
Lu1 Lu 0.0355 0.8707 0.6060
Lu2 Lu 0.1293 0.9645 0.8940
Lu3 Lu 0.8707 0.0355 0.1060
Lu4 Lu 0.9645 0.1293 0.3940
Hf1 Hf 0.2010 0.3666 0.1029
Hf2 Hf 0.2975 0.4667 0.3973
Hf3 Hf 0.3666 0.2010 0.6029
Hf4 Hf 0.4667 0.2975 0.8973
Hf5 Hf 0.5333 0.7025 0.1027
Hf6 Hf 0.6334 0.7990 0.3971
Hf7 Hf 0.7025 0.5333 0.6027
Hf8 Hf 0.7990 0.6334 0.8971
P1 P 0.0838 0.2622 0.7509
P2 P 0.2622 0.0838 0.2509
P3 P 0.4287 0.5713 0.7500
P4 P 0.5713 0.4287 0.2500
P5 P 0.7378 0.9162 0.7491
P6 P 0.9162 0.7378 0.2491
N1 N 0.0000 0.5000 0.5000
N2 N 0.1716 0.6569 0.0000
N3 N 0.3431 0.8284 0.5000
N4 N 0.5000 0.0000 0.0000
N5 N 0.6569 0.1716 0.5000
N6 N 0.8284 0.3431 0.0000



# Lu4Hf2Pb3N3 | OQMD via LeMat-Bulk | GGA-PBE | optimized geometry
# space-group type: C2/c (15)
# volume: 452.3 Å³/cell
# E_tot: -0.530 Ry/atom
data_Lu4Hf2Pb3N3
_chemical_formula_sum 'Lu8 Hf4 Pb6 N6'
_space_group_name_H-M_alt 'P 1'
_space_group_IT_number 1
_cell_length_a 5.9134
_cell_length_b 5.9134
_cell_length_c 15.3177
_cell_angle_alpha 101.21
_cell_angle_beta 101.21
_cell_angle_gamma 60.07
loop_
_space_group_symop_operation_xyz
'x,y,z'
loop_
_atom_site_label
_atom_site_type_symbol
_atom_site_fract_x
_atom_site_fract_y
_atom_site_fract_z
Lu1 Lu 0.0335 0.1905 0.0843
Lu2 Lu 0.1330 0.3052 0.4157
Lu3 Lu 0.1905 0.0335 0.5843
Lu4 Lu 0.3052 0.1330 0.9157
Lu5 Lu 0.6948 0.8670 0.0843
Lu6 Lu 0.8095 0.9665 0.4157
Lu7 Lu 0.8670 0.6948 0.5843
Lu8 Lu 0.9665 0.8095 0.9157
Hf1 Hf 0.3551 0.5261 0.0772
Hf2 Hf 0.4739 0.6449 0.4228
Hf3 Hf 0.5261 0.3551 0.5772
Hf4 Hf 0.6449 0.4739 0.9228
Pb1 Pb 0.0953 0.9047 0.2500
Pb2 Pb 0.2653 0.4156 0.7514
Pb3 Pb 0.4156 0.2653 0.2514
Pb4 Pb 0.5844 0.7347 0.7486
Pb5 Pb 0.7347 0.5844 0.2486
Pb6 Pb 0.9047 0.0953 0.7500
N1 N 0.0000 0.5000 0.0000
N2 N 0.1779 0.6614 0.5000
N3 N 0.3386 0.8221 0.0000
N4 N 0.5000 0.0000 0.5000
N5 N 0.6614 0.1779 0.0000
N6 N 0.8221 0.3386 0.5000